VASP calculation (PBE) on crystalline GeOs2CN at its relaxed geometry.

Cell: 4.634 4.634 3.581 Å, 90.00 90.00 90.00°
Fractional coordinates of all 5 atoms:
Ge  0.000  0.000  0.000
Os  0.000  0.500  0.000
Os  0.500  0.000  0.000
C  0.000  0.000  0.500
N  0.500  0.500  0.500

magnetic moment = 0.071 μB/atom
symmetry = P4/mmm, No. 123
formation energy from raw total energies = 312.4 kJ per mole of atoms
density of states at the Fermi level = 1.073 states/eV per atom
energy = -5.687 eV per atom

=====

VASP calculation (PBE) on crystalline LiSi2P at its relaxed geometry.

Cell: 2.590 2.590 8.597 Å, 90.00 90.00 98.66°
Fractional coordinates of all 4 atoms:
Li  0.000  0.000  0.000
Si  0.500  0.500  0.242
Si  0.500  0.500  0.758
P  0.000  0.000  0.500

magnetic moment = 0.000 μB/atom
symmetry = Cmmm, No. 65
formation energy from raw total energies = 28.9 kJ per mole of atoms
density of states at the Fermi level = 0.243 states/eV per atom
energy = -4.243 eV per atom

=====

VASP calculation (PBE) on crystalline Ca4TlInAg2 at its relaxed geometry.

Cell: 9.310 9.310 9.310 Å, 33.47 33.47 33.47°
Fractional coordinates of all 8 atoms:
Ca  0.125  0.125  0.125
Ca  0.375  0.375  0.375
Ca  0.625  0.625  0.625
Ca  0.875  0.875  0.875
Tl  0.000  0.000  0.000
In  0.500  0.500  0.500
Ag  0.249  0.249  0.249
Ag  0.751  0.751  0.751

magnetic moment = 0.000 μB/atom
E_form = -365 meV/atom
symmetry = R-3m, No. 166
density of states at the Fermi level = 0.780 states/eV per atom
energy = -2.717 eV per atom

=====

VASP calculation (PBE) on crystalline TiZn2I at its relaxed geometry.

Cell: 5.004 5.004 5.004 Å, 60.00 60.00 60.00°
Fractional coordinates of all 4 atoms:
Ti  0.000  0.000  0.000
Zn  0.250  0.250  0.250
Zn  0.750  0.750  0.750
I  0.500  0.500  0.500

magnetic moment = 0.645 μB/atom
symmetry = Fm-3m, No. 225
formation energy from raw total energies = 64.6 kJ per mole of atoms
density of states at the Fermi level = 0.749 states/eV per atom
offset from the most stable computed form = 312 meV/atom
energy = -2.329 eV per atom

=====

VASP calculation (PBE) on crystalline Zr2CoSi4Pt3 at its relaxed geometry.

Cell: 3.835 3.835 10.700 Å, 90.00 90.00 90.00°
Fractional coordinates of all 10 atoms:
Zr  0.000  0.500  0.219
Zr  0.500  0.000  0.781
Co  0.500  0.500  0.000
Si  0.000  0.000  0.500
Si  0.000  0.500  0.865
Si  0.500  0.000  0.135
Si  0.500  0.500  0.500
Pt  0.000  0.000  0.000
Pt  0.000  0.500  0.642
Pt  0.500  0.000  0.358

magnetic moment = 0.014 μB/atom
symmetry = P-4m2, No. 115
formation energy from raw total energies = -87.4 kJ per mole of atoms
density of states at the Fermi level = 0.390 states/eV per atom
energy = -7.308 eV per atom

=====

VASP calculation (PBE) on crystalline Pr11Nd4Dy9 at its relaxed geometry.

Cell: 15.525 15.525 3.738 Å, 90.00 90.00 113.00°
Fractional coordinates of all 24 atoms:
Pr  0.000  0.000  0.000
Pr  0.043  0.406  0.000
Pr  0.160  0.840  0.000
Pr  0.289  0.289  0.000
Pr  0.367  0.633  0.000
Pr  0.406  0.043  0.000
Pr  0.594  0.957  0.000
Pr  0.633  0.367  0.000
Pr  0.711  0.711  0.000
Pr  0.840  0.160  0.000
Pr  0.957  0.594  0.000
Nd  0.243  0.445  0.500
Nd  0.445  0.243  0.500
Nd  0.555  0.757  0.500
Nd  0.757  0.555  0.500
Dy  0.065  0.211  0.500
Dy  0.164  0.634  0.500
Dy  0.211  0.065  0.500
Dy  0.366  0.836  0.500
Dy  0.500  0.500  0.500
Dy  0.634  0.164  0.500
Dy  0.789  0.935  0.500
Dy  0.836  0.366  0.500
Dy  0.935  0.789  0.500

magnetic moment = 0.000 μB/atom
E_form = 64 meV/atom
symmetry = Cmmm, No. 65
density of states at the Fermi level = 1.306 states/eV per atom
energy = -4.647 eV per atom

=====

VASP calculation (PBE) on crystalline BaPr2Gd at its relaxed geometry.

Cell: 5.364 5.364 5.416 Å, 90.00 90.00 90.00°
Fractional coordinates of all 4 atoms:
Ba  0.000  0.000  0.000
Pr  0.000  0.500  0.500
Pr  0.500  0.000  0.500
Gd  0.500  0.500  0.000

magnetic moment = 1.922 μB/atom
E_form = 186 meV/atom
symmetry = P4/mmm, No. 123
density of states at the Fermi level = 1.907 states/eV per atom
offset from the most stable computed form = 84 meV/atom
energy = -6.205 eV per atom

=====

VASP calculation (PBE) on crystalline V4InW at its relaxed geometry.

Cell: 5.028 5.028 5.028 Å, 60.00 60.00 60.00°
Fractional coordinates of all 6 atoms:
V  0.123  0.123  0.123
V  0.123  0.123  0.632
V  0.123  0.632  0.123
V  0.632  0.123  0.123
In  0.500  0.500  0.500
W  0.750  0.750  0.750

magnetic moment = 0.000 μB/atom
E_form = 145 meV/atom
symmetry = F-43m, No. 216
density of states at the Fermi level = 1.653 states/eV per atom
energy = -8.550 eV per atom

=====

VASP calculation (PBE) on crystalline Cs2ErSi4O10F at its relaxed geometry.

Cell: 22.666 8.937 12.146 Å, 90.00 90.00 90.00°
Fractional coordinates of all 144 atoms:
Cs  0.018  0.250  0.048
Cs  0.043  0.250  0.445
Cs  0.228  0.250  0.178
Cs  0.237  0.250  0.622
Cs  0.263  0.750  0.122
Cs  0.272  0.750  0.678
Cs  0.457  0.750  0.945
Cs  0.482  0.750  0.548
Cs  0.518  0.250  0.452
Cs  0.543  0.250  0.055
Cs  0.728  0.250  0.322
Cs  0.737  0.250  0.878
Cs  0.763  0.750  0.378
Cs  0.772  0.750  0.822
Cs  0.957  0.750  0.555
Cs  0.982  0.750  0.952
Er  0.151  0.000  0.905
Er  0.151  0.500  0.905
Er  0.349  0.000  0.405
Er  0.349  0.500  0.405
Er  0.651  0.000  0.595
Er  0.651  0.500  0.595
Er  0.849  0.000  0.095
Er  0.849  0.500  0.095
Si  0.021  0.071  0.754
Si  0.021  0.429  0.754
Si  0.112  0.567  0.197
Si  0.112  0.933  0.197
Si  0.118  0.570  0.626
Si  0.118  0.930  0.626
Si  0.189  0.567  0.412
Si  0.189  0.933  0.412
Si  0.311  0.067  0.912
Si  0.311  0.433  0.912
Si  0.382  0.070  0.126
Si  0.382  0.430  0.126
Si  0.388  0.067  0.697
Si  0.388  0.433  0.697
Si  0.479  0.571  0.254
Si  0.479  0.929  0.254
Si  0.521  0.071  0.746
Si  0.521  0.429  0.746
Si  0.612  0.567  0.303
Si  0.612  0.933  0.303
Si  0.618  0.570  0.874
Si  0.618  0.930  0.874
Si  0.689  0.567  0.088
Si  0.689  0.933  0.088
Si  0.811  0.067  0.588
Si  0.811  0.433  0.588
Si  0.882  0.070  0.374
Si  0.882  0.430  0.374
Si  0.888  0.067  0.803
Si  0.888  0.433  0.803
Si  0.979  0.571  0.246
Si  0.979  0.929  0.246
O  0.017  0.250  0.728
O  0.048  0.507  0.245
O  0.048  0.993  0.245
O  0.051  0.501  0.640
O  0.051  0.999  0.640
O  0.056  0.027  0.863
O  0.056  0.473  0.863
O  0.108  0.750  0.614
O  0.110  0.750  0.188
O  0.129  0.010  0.083
O  0.129  0.490  0.083
O  0.140  0.508  0.504
O  0.140  0.992  0.504
O  0.162  0.521  0.291
O  0.162  0.979  0.291
O  0.163  0.522  0.722
O  0.163  0.978  0.722
O  0.193  0.750  0.420
O  0.248  0.510  0.931
O  0.248  0.990  0.931
O  0.252  0.010  0.431
O  0.252  0.490  0.431
O  0.307  0.250  0.920
O  0.337  0.022  0.222
O  0.337  0.478  0.222
O  0.338  0.021  0.791
O  0.338  0.479  0.791
O  0.360  0.008  0.004
O  0.360  0.492  0.004
O  0.371  0.510  0.583
O  0.371  0.990  0.583
O  0.390  0.250  0.688
O  0.392  0.250  0.114
O  0.444  0.527  0.363
O  0.444  0.973  0.363
O  0.449  0.001  0.140
O  0.449  0.499  0.140
O  0.452  0.007  0.745
O  0.452  0.493  0.745
O  0.483  0.750  0.228
O  0.517  0.250  0.772
O  0.548  0.507  0.255
O  0.548  0.993  0.255
O  0.551  0.501  0.860
O  0.551  0.999  0.860
O  0.556  0.027  0.637
O  0.556  0.473  0.637
O  0.608  0.750  0.886
O  0.610  0.750  0.312
O  0.629  0.010  0.417
O  0.629  0.490  0.417
O  0.640  0.508  0.996
O  0.640  0.992  0.996
O  0.662  0.521  0.209
O  0.662  0.979  0.209
O  0.663  0.522  0.778
O  0.663  0.978  0.778
O  0.693  0.750  0.080
O  0.748  0.510  0.569
O  0.748  0.990  0.569
O  0.752  0.010  0.069
O  0.752  0.490  0.069
O  0.807  0.250  0.580
O  0.837  0.022  0.278
O  0.837  0.478  0.278
O  0.838  0.021  0.709
O  0.838  0.479  0.709
O  0.860  0.008  0.496
O  0.860  0.492  0.496
O  0.871  0.510  0.917
O  0.871  0.990  0.917
O  0.890  0.250  0.812
O  0.892  0.250  0.386
O  0.944  0.527  0.137
O  0.944  0.973  0.137
O  0.949  0.001  0.360
O  0.949  0.499  0.360
O  0.952  0.007  0.755
O  0.952  0.493  0.755
O  0.983  0.750  0.272
F  0.146  0.750  0.916
F  0.158  0.250  0.902
F  0.342  0.750  0.402
F  0.354  0.250  0.416
F  0.646  0.750  0.584
F  0.658  0.250  0.598
F  0.842  0.750  0.098
F  0.854  0.250  0.084

magnetic moment = 0.000 μB/atom
symmetry = Pnma, No. 62
formation energy from raw total energies = -281.1 kJ per mole of atoms
density of states at the Fermi level = 0.000 states/eV per atom
energy = -7.325 eV per atom